Model P:
Ag7Hg2Au2 | PBE-GGA | optimized geometry

Cell lengths 5.4966, 7.2438, 5.4966 Å; angles 97.70, 93.67, 97.70 degrees
Closest atoms and distances in Å follow each position.
Atoms (fractional coordinates):
Ag 0.0826 0.2865 0.4401  2 Au 2.80-3.00, 4 Ag 2.87-3.08, 3 Hg 2.89-2.97
Ag 0.5599 0.7135 0.9174  2 Au 2.80-3.00, 4 Ag 2.87-3.08, 3 Hg 2.89-2.97
Ag 0.9174 0.7135 0.5599  2 Au 2.80-3.00, 4 Ag 2.87-3.08, 3 Hg 2.89-2.97
Ag 0.4401 0.2865 0.0826  2 Au 2.80-3.00, 4 Ag 2.87-3.08, 3 Hg 2.89-2.97
Ag 0.0000 0.5000 0.0000  2 Hg 2.88, 6 Ag 2.93-3.08
Ag 0.1438 0.9060 0.1438  6 Ag 2.77-3.08, 1 Hg 2.90, 4 Au 2.91-3.00
Ag 0.8562 0.0940 0.8562  6 Ag 2.77-3.08, 1 Hg 2.90, 4 Au 2.91-3.00
Hg 0.6143 0.3600 0.6143  8 Ag 2.88-2.97, 1 Hg 2.90, 2 Au 2.96
Hg 0.3857 0.6400 0.3857  8 Ag 2.88-2.97, 1 Hg 2.90, 2 Au 2.96
Au 0.6808 0.0000 0.3192  8 Ag 2.80-3.00, 1 Au 2.90, 2 Hg 2.96
Au 0.3192 0.0000 0.6808  8 Ag 2.80-3.00, 1 Au 2.90, 2 Hg 2.96

Summary:
space-group type = C2/m (12)


Model Q:
Ag7Hg2Au2 | PBE-GGA | optimized geometry

Cell lengths 4.1766, 7.6636, 7.6636 Å; angles 69.25, 105.78, 105.78 degrees
Closest atoms and distances in Å follow each position.
Atoms (fractional coordinates):
Ag 0.6649 0.9162 0.4136  2 Au 2.87, 6 Ag 2.91-3.01, 3 Hg 3.03-3.12
Ag 0.3351 0.5864 0.0838  2 Au 2.87, 6 Ag 2.91-3.01, 3 Hg 3.03-3.12
Ag 0.3351 0.0838 0.5864  2 Au 2.87, 6 Ag 2.91-3.01, 3 Hg 3.03-3.12
Ag 0.6649 0.4136 0.9162  2 Au 2.87, 6 Ag 2.91-3.01, 3 Hg 3.03-3.12
Ag 0.5000 0.0000 0.0000  8 Ag 2.92-2.93, 4 Au 2.93
Ag 0.8270 0.8274 0.8274  2 Au 2.90, 8 Ag 2.92-3.01, 2 Hg 3.00-3.01
Ag 0.1730 0.1726 0.1726  2 Au 2.90, 8 Ag 2.92-3.01, 2 Hg 3.00-3.01
Hg 0.8517 0.3539 0.3539  2 Au 2.89, 8 Ag 3.00-3.12
Hg 0.1483 0.6461 0.6461  2 Au 2.89, 8 Ag 3.00-3.12
Au 0.0000 0.2353 0.7647  8 Ag 2.87-2.93, 2 Hg 2.89
Au 0.0000 0.7647 0.2353  8 Ag 2.87-2.93, 2 Hg 2.89

Summary:
space-group type = C2/m (12)


So which one wins? Going from most stable to least: model Q, model P.


Model P:
Ag8Hg2Au | PBE-GGA | optimized geometry

Cell lengths 4.9857, 7.1866, 7.1866 Å; angles 82.40, 77.12, 77.12 degrees
Closest atoms and distances in Å follow each position.
Atoms (fractional coordinates):
Ag 0.8106 0.1681 0.6670  4 Ag 2.77-3.08, 1 Au 2.80, 1 Hg 2.93
Ag 0.1894 0.3330 0.8319  4 Ag 2.77-3.08, 1 Au 2.80, 1 Hg 2.93
Ag 0.8785 0.2785 0.2785  2 Hg 2.76-2.83, 5 Ag 2.77-3.01, 1 Au 2.89
Ag 0.1215 0.7215 0.7215  2 Hg 2.76-2.83, 5 Ag 2.77-3.01, 1 Au 2.89
Ag 0.8106 0.6670 0.1681  4 Ag 2.77-3.08, 1 Au 2.80, 1 Hg 2.93
Ag 0.1894 0.8319 0.3330  4 Ag 2.77-3.08, 1 Au 2.80, 1 Hg 2.93
Ag 0.2925 0.4319 0.4319  7 Ag 2.83-3.01, 1 Hg 2.85
Ag 0.7075 0.5681 0.5681  7 Ag 2.83-3.01, 1 Hg 2.85
Hg 0.4500 0.1561 0.1561  1 Au 2.76, 5 Ag 2.76-2.93
Hg 0.5500 0.8439 0.8439  1 Au 2.76, 5 Ag 2.76-2.93
Au 0.0000 0.0000 0.0000  2 Hg 2.76, 6 Ag 2.80-2.89

Summary:
space-group type = C2/m (12)


Model Q:
Ag8Hg2Au | PBE-GGA | optimized geometry

Cell lengths 4.1495, 8.4369, 7.7787 Å; angles 122.84, 105.47, 90.00 degrees
Closest atoms and distances in Å follow each position.
Atoms (fractional coordinates):
Ag 0.6651 0.9171 0.3302  7 Ag 2.91-2.96, 1 Au 2.93, 3 Hg 2.98-3.09
Ag 0.3349 0.5869 0.6698  7 Ag 2.91-2.96, 1 Au 2.93, 3 Hg 2.98-3.09
Ag 0.1693 0.1693 0.3386  8 Ag 2.93-2.96, 2 Au 2.95, 2 Hg 3.04
Ag 0.0000 0.2419 0.0000  2 Hg 2.87, 2 Au 2.91, 6 Ag 2.91-2.93
Ag 0.8307 0.8307 0.6614  8 Ag 2.93-2.96, 2 Au 2.95, 2 Hg 3.04
Ag 0.6651 0.4131 0.3302  7 Ag 2.91-2.96, 1 Au 2.93, 3 Hg 2.98-3.09
Ag 0.3349 0.0829 0.6698  7 Ag 2.91-2.96, 1 Au 2.93, 3 Hg 2.98-3.09
Ag 0.0000 0.7581 0.0000  2 Hg 2.87, 2 Au 2.91, 6 Ag 2.91-2.93
Hg 0.1509 0.6509 0.3018  10 Ag 2.87-3.09
Hg 0.8491 0.3491 0.6982  10 Ag 2.87-3.09
Au 0.5000 0.0000 0.0000  12 Ag 2.91-2.95

Summary:
space-group type = Immm (71)


So which one wins? Going from most stable to least: model Q, model P.


Model P:
Ag3HgAu6 | PBE-GGA | optimized geometry

Cell lengths 7.5438, 7.3208, 7.0537 Å; angles 90.00, 90.33, 90.00 degrees
Closest atoms and distances in Å follow each position.
Atoms (fractional coordinates):
Ag 0.5956 0.8013 0.7526  6 Au 2.77-2.83, 1 Ag 2.91, 1 Hg 2.92
Ag 0.5000 0.5000 0.0000  6 Au 2.84-3.13, 2 Ag 2.91
Ag 0.4044 0.1987 0.2474  6 Au 2.77-2.83, 1 Ag 2.91, 1 Hg 2.92
Ag 0.0956 0.6987 0.2526  6 Au 2.77-2.83, 1 Ag 2.91, 1 Hg 2.92
Ag 0.0000 0.0000 0.5000  6 Au 2.84-3.13, 2 Ag 2.91
Ag 0.9044 0.3013 0.7474  6 Au 2.77-2.83, 1 Ag 2.91, 1 Hg 2.92
Hg 0.5000 0.5000 0.5000  6 Au 2.90-3.15, 2 Ag 2.92
Hg 0.0000 0.0000 0.0000  6 Au 2.90-3.15, 2 Ag 2.92
Au 0.6397 0.1318 0.9555  4 Ag 2.77-2.91, 5 Au 2.86-3.01, 1 Hg 2.90
Au 0.6454 0.1229 0.5386  4 Ag 2.77-2.84, 5 Au 2.86-2.98, 1 Hg 2.98
Au 0.8067 0.3398 0.2494  6 Au 2.86-3.01, 1 Ag 3.13, 1 Hg 3.15
Au 0.1933 0.6602 0.7506  6 Au 2.86-3.01, 1 Ag 3.13, 1 Hg 3.15
Au 0.3546 0.8771 0.4614  4 Ag 2.77-2.84, 5 Au 2.86-2.98, 1 Hg 2.98
Au 0.3603 0.8682 0.0445  4 Ag 2.77-2.91, 5 Au 2.86-3.01, 1 Hg 2.90
Au 0.1397 0.3682 0.4555  4 Ag 2.77-2.91, 5 Au 2.86-3.01, 1 Hg 2.90
Au 0.1454 0.3771 0.0386  4 Ag 2.77-2.84, 5 Au 2.86-2.98, 1 Hg 2.98
Au 0.3067 0.1602 0.7494  6 Au 2.86-3.01, 1 Ag 3.13, 1 Hg 3.15
Au 0.6933 0.8398 0.2506  6 Au 2.86-3.01, 1 Ag 3.13, 1 Hg 3.15
Au 0.8546 0.6229 0.9614  4 Ag 2.77-2.84, 5 Au 2.86-2.98, 1 Hg 2.98
Au 0.8603 0.6318 0.5445  4 Ag 2.77-2.91, 5 Au 2.86-3.01, 1 Hg 2.90

Summary:
space-group type = P2_1/c (14)


Model Q:
Ag3HgAu6 | PBE-GGA | optimized geometry

Cell lengths 5.1061, 7.7981, 10.6279 Å; angles 114.19, 72.41, 101.64 degrees
Closest atoms and distances in Å follow each position.
Atoms (fractional coordinates):
Ag 0.2501 0.5464 0.3969  9 Au 2.90-3.01, 2 Ag 2.99-3.00, 1 Hg 3.00
Ag 0.7499 0.4536 0.6031  9 Au 2.90-3.01, 2 Ag 2.99-3.00, 1 Hg 3.00
Ag 0.2473 0.3536 0.8026  8 Au 2.90-2.96, 3 Ag 2.94-2.99, 1 Hg 3.00
Ag 0.7527 0.6464 0.1974  8 Au 2.90-2.96, 3 Ag 2.94-2.99, 1 Hg 3.00
Ag 0.2489 0.7498 0.0012  10 Au 2.91-2.96, 2 Ag 2.94-2.96
Ag 0.7511 0.2502 0.9988  10 Au 2.91-2.96, 2 Ag 2.94-2.96
Hg 0.2399 0.9488 0.6030  9 Au 2.95-3.01, 2 Ag 3.00, 1 Hg 3.09
Hg 0.7601 0.0512 0.3970  9 Au 2.95-3.01, 2 Ag 3.00, 1 Hg 3.09
Au 0.2517 0.4487 0.0980  7 Ag 2.92-2.96, 5 Au 2.93-2.97
Au 0.7483 0.5513 0.9020  7 Ag 2.92-2.96, 5 Au 2.93-2.97
Au 0.2588 0.1507 0.1972  8 Au 2.91-2.99, 3 Ag 2.94-2.96, 1 Hg 2.98
Au 0.7412 0.8493 0.8028  8 Au 2.91-2.99, 3 Ag 2.94-2.96, 1 Hg 2.98
Au 0.2467 0.6485 0.7029  5 Ag 2.90-3.01, 6 Au 2.92-2.99, 1 Hg 2.95
Au 0.7533 0.3515 0.2971  5 Ag 2.90-3.01, 6 Au 2.92-2.99, 1 Hg 2.95
Au 0.2543 0.2576 0.5020  4 Ag 2.90-2.96, 5 Au 2.92-3.07, 3 Hg 2.97-2.99
Au 0.7457 0.7424 0.4980  4 Ag 2.90-2.96, 5 Au 2.92-3.07, 3 Hg 2.97-2.99
Au 0.2552 0.8440 0.2948  4 Ag 2.91-2.96, 5 Au 2.93-3.07, 3 Hg 2.96-3.01
Au 0.7448 0.1560 0.7052  4 Ag 2.91-2.96, 5 Au 2.93-3.07, 3 Hg 2.96-3.01
Au 0.2473 0.0513 0.9032  7 Au 2.91-2.99, 4 Ag 2.93-2.96, 1 Hg 2.96
Au 0.7527 0.9487 0.0968  7 Au 2.91-2.99, 4 Ag 2.93-2.96, 1 Hg 2.96

Summary:
space-group type = P-1 (2)


So which one wins? Going from most stable to least: model Q, model P.


Model P:
RbAgHg2Au | PBE-GGA | optimized geometry

Cell lengths 5.5078, 5.5078, 5.4676 Å; angles 90.00, 90.00, 90.00 degrees
Closest atoms and distances in Å follow each position.
Atoms (fractional coordinates):
Rb 0.5000 0.5000 0.5000  8 Hg 3.88, 4 Au 3.89
Au 0.0000 0.0000 0.5000  2 Ag 2.73
Hg 0.0000 0.5000 0.0000  2 Ag 2.75
Hg 0.5000 0.0000 0.0000  2 Ag 2.75
Ag 0.0000 0.0000 0.0000  2 Au 2.73, 4 Hg 2.75

Summary:
space-group type = P4/mmm (123)


Model Q:
RbAgHg2Au | PBE-GGA | optimized geometry

Cell lengths 5.4531, 5.4531, 5.4727 Å; angles 90.00, 90.00, 90.00 degrees
Closest atoms and distances in Å follow each position.
Atoms (fractional coordinates):
Rb 0.5000 0.5000 0.5000  4 Ag 3.86, 8 Hg 3.86
Au 0.0000 0.0000 0.0000  4 Hg 2.73, 2 Ag 2.74
Hg 0.0000 0.5000 0.0000  2 Au 2.73
Hg 0.5000 0.0000 0.0000  2 Au 2.73
Ag 0.0000 0.0000 0.5000  2 Au 2.74

Summary:
space-group type = P4/mmm (123)


So which one wins? Going from most stable to least: model Q, model P.


Model P:
YAgHgAu | PBE-GGA | optimized geometry

Cell lengths 4.9577, 4.9577, 4.9577 Å; angles 60.00, 60.00, 60.00 degrees
Closest atoms and distances in Å follow each position.
Atoms (fractional coordinates):
Y 0.2500 0.2500 0.2500  4 Hg 3.04, 4 Au 3.04
Au 0.5000 0.5000 0.5000  4 Y 3.04, 4 Ag 3.04
Hg 0.0000 0.0000 0.0000  4 Ag 3.04, 4 Y 3.04
Ag 0.7500 0.7500 0.7500  4 Au 3.04, 4 Hg 3.04

Summary:
space-group type = F-43m (216)


Model Q:
YAgHgAu | PBE-GGA | optimized geometry

Cell lengths 4.6798, 4.6798, 5.1390 Å; angles 117.06, 117.09, 90.00 degrees
Closest atoms and distances in Å follow each position.
Atoms (fractional coordinates):
Y 0.2500 0.7500 0.5000  4 Au 3.06, 4 Hg 3.06, 4 Ag 3.31
Ag 0.7500 0.2499 0.5000  4 Au 3.05-3.06, 4 Hg 3.06, 4 Y 3.31
Hg 0.5000 0.4998 0.0000  4 Ag 3.06, 4 Y 3.06, 4 Au 3.31
Au 0.0000 0.0003 0.0000  4 Ag 3.05-3.06, 4 Y 3.06, 4 Hg 3.31

Summary:
space-group type = I-4m2 (119)


So which one wins? Going from most stable to least: model Q, model P.


Model P:
Ho3AgAu | PBE-GGA | optimized geometry

Cell lengths 5.0522, 5.0524, 10.1207 Å; angles 90.00, 75.55, 90.00 degrees
Closest atoms and distances in Å follow each position.
Atoms (fractional coordinates):
Ho 0.7589 0.2500 0.1306  2 Ag 3.10, 2 Au 3.14
Ho 0.3882 0.2500 0.8720  2 Ag 3.12, 2 Au 3.15
Ho 0.5739 0.2500 0.5006  4 Au 3.07-3.08, 4 Ag 3.11-3.12
Ho 0.2602 0.7500 0.1280  2 Ag 3.12, 2 Au 3.15
Ho 0.8895 0.7500 0.8694  2 Ag 3.10, 2 Au 3.14
Ho 0.0745 0.7500 0.4994  4 Au 3.07-3.08, 4 Ag 3.11-3.12
Ag 0.4812 0.7500 0.6859  8 Ho 3.10-3.12
Ag 0.1671 0.2500 0.3141  8 Ho 3.10-3.12
Au 0.6639 0.7500 0.3206  8 Ho 3.07-3.15
Au 0.9845 0.2500 0.6794  8 Ho 3.07-3.15

Summary:
space-group type = Cmcm (63)


Model Q:
Ho3AgAu | PBE-GGA | optimized geometry

Cell lengths 3.7555, 9.1696, 9.1730 Å; angles 62.92, 90.00, 90.00 degrees
Closest atoms and distances in Å follow each position.
Atoms (fractional coordinates):
Ho 0.8637 0.3933 0.8264  2 Au 2.94, 2 Ag 3.13-3.14
Ho 0.8637 0.9950 0.6659  2 Au 2.94, 2 Ag 3.13-3.14
Ho 0.8627 0.6133 0.0475  2 Au 2.94, 2 Ag 3.14
Ho 0.3633 0.0449 0.0969  2 Au 2.86, 2 Ag 3.00
Ho 0.8627 0.7747 0.4452  2 Au 2.94, 2 Ag 3.14
Ho 0.3633 0.3440 0.3964  2 Au 2.86, 2 Ag 3.00
Ag 0.3633 0.6941 0.7464  8 Ho 3.13-3.14
Ag 0.8634 0.1940 0.2471  4 Ho 3.00
Au 0.3626 0.6945 0.2459  6 Ho 2.86-2.94
Au 0.3637 0.1938 0.7466  6 Ho 2.86-2.94

Summary:
space-group type = Amm2 (38)


So which one wins? Going from most stable to least: model P, model Q.


Model P:
HoAgAu4 | PBE-GGA | optimized geometry

Cell lengths 4.7093, 6.1148, 8.8760 Å; angles 69.70, 90.00, 90.00 degrees
Closest atoms and distances in Å follow each position.
Atoms (fractional coordinates):
Ho 0.7500 0.6186 0.2608  2 Ag 3.06, 12 Au 3.11-3.25
Ho 0.2500 0.3814 0.7392  2 Ag 3.06, 12 Au 3.11-3.25
Ag 0.7500 0.1302 0.2375  12 Au 3.06-3.25, 2 Ho 3.06
Ag 0.2500 0.8698 0.7625  12 Au 3.06-3.25, 2 Ho 3.06
Au 0.2500 0.8082 0.4135  4 Au 2.74-2.90
Au 0.2500 0.9592 0.0848  4 Au 2.74-3.00
Au 0.7500 0.7182 0.5854  4 Au 2.74-2.90
Au 0.7500 0.5500 0.9148  4 Au 2.74-3.00, 2 Ag 3.06
Au 0.7500 0.1918 0.5865  4 Au 2.74-2.90
Au 0.2500 0.2818 0.4146  4 Au 2.74-2.90
Au 0.7500 0.0408 0.9152  4 Au 2.74-3.00
Au 0.2500 0.4500 0.0852  4 Au 2.74-3.00, 2 Ag 3.06

Summary:
space-group type = P2_1/m (11)


Model Q:
HoAgAu4 | PBE-GGA | optimized geometry

Cell lengths 5.1607, 5.1607, 9.5716 Å; angles 104.94, 104.94, 91.90 degrees
Closest atoms and distances in Å follow each position.
Atoms (fractional coordinates):
Ho 0.7498 0.7500 0.0000  10 Au 3.00-3.02
Ho 0.2502 0.2500 0.0000  10 Au 3.00-3.02
Ag 0.5000 0.0000 0.5000  10 Au 2.89-2.96
Ag 0.0000 0.5000 0.5000  10 Au 2.89-2.96
Au 0.6634 0.1631 0.8248  1 Ag 2.89, 5 Au 2.95-3.11, 4 Ho 3.01-3.02
Au 0.8374 0.3368 0.1752  1 Ag 2.89, 5 Au 2.95-3.11, 4 Ho 3.01-3.02
Au 0.3366 0.8369 0.1752  1 Ag 2.89, 5 Au 2.95-3.11, 4 Ho 3.01-3.02
Au 0.1626 0.6632 0.8248  1 Ag 2.89, 5 Au 2.95-3.11, 4 Ho 3.01-3.02
Au 0.0822 0.0820 0.6622  5 Au 2.88-2.96, 4 Ag 2.95-2.96, 1 Ho 3.00
Au 0.4186 0.4182 0.3378  5 Au 2.88-2.96, 4 Ag 2.95-2.96, 1 Ho 3.00
Au 0.9178 0.9180 0.3378  5 Au 2.88-2.96, 4 Ag 2.95-2.96, 1 Ho 3.00
Au 0.5814 0.5818 0.6622  5 Au 2.88-2.96, 4 Ag 2.95-2.96, 1 Ho 3.00

Summary:
space-group type = P2/m (10)


So which one wins? Going from most stable to least: model Q, model P.


Model P:
HoAg2Au | PBE-GGA | optimized geometry

Cell lengths 8.7250, 6.0758, 6.0783 Å; angles 90.00, 90.00, 90.00 degrees
Closest atoms and distances in Å follow each position.
Atoms (fractional coordinates):
Ho 0.9375 0.2500 0.9998  4 Au 3.04, 8 Ag 3.06
Ho 0.4375 0.7500 0.0002  4 Au 3.04, 8 Ag 3.06
Ho 0.4375 0.2500 0.4998  4 Au 3.04, 8 Ag 3.06
Ho 0.9375 0.7500 0.5002  4 Au 3.04, 8 Ag 3.06
Ag 0.1876 0.4999 0.7500  4 Ag 3.04, 4 Au 3.06, 4 Ho 3.06
Ag 0.6876 0.5001 0.2500  4 Ag 3.04, 4 Au 3.06, 4 Ho 3.06
Ag 0.6876 0.0001 0.2500  4 Ag 3.04, 4 Au 3.06, 4 Ho 3.06
Ag 0.1876 0.9999 0.7500  4 Ag 3.04, 4 Au 3.06, 4 Ho 3.06
Ag 0.6873 0.0001 0.7501  4 Ag 3.04, 4 Au 3.06, 4 Ho 3.06
Ag 0.1873 0.9999 0.2499  4 Ag 3.04, 4 Au 3.06, 4 Ho 3.06
Ag 0.1873 0.4999 0.2501  4 Ag 3.04, 4 Au 3.06, 4 Ho 3.06
Ag 0.6873 0.5001 0.7499  4 Ag 3.04, 4 Au 3.06, 4 Ho 3.06
Au 0.9375 0.2500 0.4999  4 Ho 3.04, 8 Ag 3.06
Au 0.4375 0.7500 0.5001  4 Ho 3.04, 8 Ag 3.06
Au 0.4375 0.2500 0.9999  4 Ho 3.04, 8 Ag 3.06
Au 0.9375 0.7500 0.0001  4 Ho 3.04, 8 Ag 3.06

Summary:
space-group type = I4/mmm (139)


Model Q:
HoAg2Au | PBE-GGA | optimized geometry

Cell lengths 4.7190, 4.2056, 4.2056 Å; angles 90.00, 90.00, 90.00 degrees
Closest atoms and distances in Å follow each position.
Atoms (fractional coordinates):
Au 0.5000 0.5000 0.5000  4 Ho 2.97, 8 Ag 3.16
Ho 0.5000 0.0000 0.0000  4 Au 2.97, 8 Ag 3.16
Ag 0.0000 0.0000 0.5000  4 Ag 2.97, 4 Au 3.16, 4 Ho 3.16
Ag 0.0000 0.5000 0.0000  4 Ag 2.97, 4 Ho 3.16, 4 Au 3.16

Summary:
space-group type = P4/mmm (123)


Model R:
HoAg2Au | PBE-GGA | optimized geometry

Cell lengths 4.8536, 4.8536, 4.8536 Å; angles 60.00, 60.00, 60.00 degrees
Closest atoms and distances in Å follow each position.
Atoms (fractional coordinates):
Au 0.5000 0.5000 0.5000  8 Ag 2.97
Ho 0.0000 0.0000 0.0000  8 Ag 2.97
Ag 0.2500 0.2500 0.2500  4 Au 2.97, 4 Ho 2.97
Ag 0.7500 0.7500 0.7500  4 Ho 2.97, 4 Au 2.97

Summary:
space-group type = Fm-3m (225)


So which one wins? Going from most stable to least: model P, model R, model Q.